[1]
# Sr3GaI3 (PBE, relaxed)
data_Sr3GaI3
_symmetry_space_group_name_H-M 'I 41 3 2'
_symmetry_Int_Tables_number 214
_symmetry_space_group_name_Hall 'I 4bd 2c 3'
_cell_length_a 13.3481
_cell_length_b 13.3481
_cell_length_c 13.3481
_cell_angle_alpha 90.00
_cell_angle_beta 90.00
_cell_angle_gamma 90.00
loop_
_atom_site_label
_atom_site_type_symbol
_atom_site_fract_x
_atom_site_fract_y
_atom_site_fract_z
Sr1 Sr 0.1185 0.3685 0.1250
Ga1 Ga 0.1250 0.1250 0.1250
I1 I 0.1215 0.1285 0.6250
# energy relative to the elements, uncorrected: -768 kJ/mol of formula units

---

[2]
# Hg3GeW (PBE, relaxed)
data_Hg3GeW
_symmetry_space_group_name_H-M 'P m -3 m'
_symmetry_Int_Tables_number 221
_symmetry_space_group_name_Hall '-P 4 2 3'
_cell_length_a 5.2359
_cell_length_b 5.2359
_cell_length_c 5.2359
_cell_angle_alpha 90.00
_cell_angle_beta 90.00
_cell_angle_gamma 90.00
loop_
_atom_site_label
_atom_site_type_symbol
_atom_site_fract_x
_atom_site_fract_y
_atom_site_fract_z
Hg1 Hg 0.0000 0.0000 0.5000
Ge1 Ge 0.0000 0.0000 0.0000
W1 W 0.5000 0.5000 0.5000
# formation energy: 1.46 eV per atom
# offset from the most stable computed form: 0.2447 eV per atom

---

For each record above, in turn, the calculated VASP energy values are -2.955, -2.233 eV/atom.